(1)
MnAgSe2 meta-GGA SCAN single point on PBEsol structure; energy relative to the elements, uncorrected = -189.0 meV/atom; space-group type = No. 119; calculated density = 6.693 Mg/m³; electronic total energy = -22.6338 eV per atom
1.0
-1.828 1.828 5.953
1.828 -1.828 5.953
1.828 1.828 -5.953
Mn Ag Se
1 1 2
Direct
0.000 0.000 0.000
0.250 0.750 0.500
0.500 0.500 0.000
0.750 0.250 0.500

---

(2)
CaZn2Fe meta-GGA SCAN single point on PBEsol structure; space-group type = No. 216; calculated density = 5.618 Mg/m³; electronic total energy = -13.4405 eV per atom; DFT formation energy = 0.27 eV per atom
1.0
0.000 3.224 3.224
3.224 0.000 3.224
3.224 3.224 0.000
Ca Zn Fe
1 2 1
Direct
0.000 0.000 0.000
0.250 0.250 0.250
0.500 0.500 0.500
0.750 0.750 0.750